No. 1
This record from Alexandria describes an optimized crystal structure of ScMnTlHg. The functional is PBE.

Cell: 4.8740 4.8740 4.8740 Å, 60.00 60.00 60.00°
Closest atoms and distances in Å follow each position.
Sites, in units of the cell vectors:
Sc1 0.0000 0.0000 0.0000  4 Hg 2.98, 4 Tl 2.98
Mn1 0.5000 0.5000 0.5000  4 Hg 2.98, 4 Tl 2.98
Tl1 0.7500 0.7500 0.7500  4 Mn 2.98, 4 Sc 2.98
Hg1 0.2500 0.2500 0.2500  4 Mn 2.98, 4 Sc 2.98

Output
calculated volume = 20.47 Å³/atom
mass density = 10.24 g cm⁻³
ΔH_f (0 K) = 0.010 eV/atom

***

No. 2
This record from Alexandria describes an optimized crystal structure of AsI. The functional is PBE.

Cell: 4.7770 4.7770 10.1444 Å, 90.00 90.00 120.00°
Closest atoms and distances in Å follow each position.
Sites, in units of the cell vectors:
As1 0.3333 0.6667 0.0000  3 I 2.84
As2 0.6667 0.3333 0.5000  3 I 2.84
I1 0.3333 0.6667 0.4327  3 As 2.84
I2 0.6667 0.3333 0.9327  3 As 2.84

Output
formation energy (no corrections) = 727 meV/atom
calculated volume = 50.12 Å³/atom
mass density = 3.34 g cm⁻³

***

No. 3
This record from Alexandria describes an optimized crystal structure of Mn2Cd2InPd5. The functional is PBE.

Cell: 9.4195 9.4195 3.9455 Å, 90.00 90.00 90.00°
Closest atoms and distances in Å follow each position.
Sites, in units of the cell vectors:
Mn1 0.1254 0.3746 0.0000  6 Pd 2.58-2.61, 3 Cd 2.71-2.82
Mn2 0.3746 0.8746 0.0000  6 Pd 2.58-2.61, 3 Cd 2.71-2.82
Mn3 0.6254 0.1254 0.0000  6 Pd 2.58-2.61, 3 Cd 2.71-2.82
Mn4 0.8746 0.6254 0.0000  6 Pd 2.58-2.61, 3 Cd 2.71-2.82
Cd1 0.1708 0.6708 0.0000  3 Mn 2.71-2.82, 2 Pd 3.01
Cd2 0.3292 0.1708 0.0000  3 Mn 2.71-2.82, 2 Pd 3.01
Cd3 0.6708 0.8292 0.0000  3 Mn 2.71-2.82, 2 Pd 3.01
Cd4 0.8292 0.3292 0.0000  3 Mn 2.71-2.82, 2 Pd 3.01
In1 0.0000 0.0000 0.0000  8 Pd 2.82
In2 0.5000 0.5000 0.0000  8 Pd 2.82
Pd1 0.0000 0.5000 0.5000  4 Mn 2.58
Pd2 0.0807 0.1985 0.5000  2 Mn 2.61, 2 In 2.82, 2 Pd 2.85
Pd3 0.1985 0.9193 0.5000  2 Mn 2.61, 2 In 2.82, 2 Pd 2.85
Pd4 0.3015 0.4193 0.5000  2 Mn 2.61, 2 In 2.82, 2 Pd 2.85
Pd5 0.4193 0.6985 0.5000  2 Mn 2.61, 2 In 2.82, 2 Pd 2.85
Pd6 0.5000 0.0000 0.5000  4 Mn 2.58
Pd7 0.5807 0.3015 0.5000  2 Mn 2.61, 2 In 2.82, 2 Pd 2.85
Pd8 0.6985 0.5807 0.5000  2 Mn 2.61, 2 In 2.82, 2 Pd 2.85
Pd9 0.8015 0.0807 0.5000  2 Mn 2.61, 2 In 2.82, 2 Pd 2.85
Pd10 0.9193 0.8015 0.5000  2 Mn 2.61, 2 In 2.82, 2 Pd 2.85

Output
calculated volume = 17.50 Å³/atom
mass density = 9.31 g cm⁻³
ΔH_f (0 K) = -0.185 eV/atom